DFT (PBE+U) results for a geometry-optimized Li4Fe3Co3Ni2O16 structure.

Values from the calculation:
**DOS(E_F)**: 0.93 states/eV/cell
**Energy**: -5.611 eV per atom
**Symmetry**: Cm, No. 8

extended XYZ file:
```
28
Lattice="-1.522 3.257 4.487 -5.376 1.977 0.489 -2.432 -7.844 4.857" Properties=species:S:1:pos:R:3 pbc="T T T"
O -3.047 -0.290 1.221
O -5.830 -1.121 7.820
O -1.329 0.280 3.002
O -5.975 -0.341 3.743
O -6.725 -3.590 7.634
O -0.468 -1.469 0.922
O -3.233 -1.333 3.544
O -1.713 -5.346 3.364
O -3.261 -6.136 5.109
O -3.956 0.330 5.837
O -4.100 -4.441 7.476
O -6.800 1.314 6.136
O -3.723 1.179 3.212
O -6.093 -5.103 5.409
O -7.576 -1.701 6.010
O -5.207 -2.587 5.850
Li -0.037 0.015 0.031
Li -3.773 -3.038 4.611
Li -1.289 -3.883 2.486
Li -4.839 2.624 3.826
Co -4.985 -2.800 7.709
Co -1.855 -1.356 2.223
Co -6.889 -3.432 5.736
Ni -2.316 1.657 1.703
Ni -5.823 -0.514 5.779
Fe -2.606 0.250 4.443
Fe -4.514 -0.383 2.465
Fe -7.632 -1.817 7.941
```